[1]
# CeMgZr2, relaxed, DFT GGA-PBE
# V in A^3/atom: 24.276
# ΔH_f (0 K) in eV/atom: 0.06
# Distance to the lowest polymorph of the same formula in meV per atom: 0
data_CeMgZr2
_chemical_formula_sum 'Ce3 Mg3 Zr6'
_cell_length_a 3.1811
_cell_length_b 3.1811
_cell_length_c 33.2412
_cell_angle_alpha 90.00
_cell_angle_beta 90.00
_cell_angle_gamma 120.00
_symmetry_space_group_name_H-M 'R 3 m'
_symmetry_Int_Tables_number 160
_symmetry_space_group_name_Hall 'R 3 -2"'
loop_
_atom_site_label
_atom_site_type_symbol
_atom_site_fract_x
_atom_site_fract_y
_atom_site_fract_z
Ce1 Ce 0.0000 0.0000 0.0000
Mg1 Mg 0.0000 0.0000 0.2435
Zr1 Zr 0.0000 0.0000 0.4183
Zr2 Zr 0.0000 0.0000 0.8289

[2]
# RbTlPtAu2, relaxed, DFT GGA-PBE
# V in A^3/atom: 30.033
# ΔH_f (0 K) in eV/atom: -0.10
data_RbTlPtAu2
_chemical_formula_sum 'Rb1 Tl1 Pt1 Au2'
_cell_length_a 5.3672
_cell_length_b 5.3672
_cell_length_c 5.2127
_cell_angle_alpha 90.00
_cell_angle_beta 90.00
_cell_angle_gamma 90.00
_symmetry_space_group_name_H-M 'P 4/m m m'
_symmetry_Int_Tables_number 123
_symmetry_space_group_name_Hall '-P 4 2'
loop_
_atom_site_label
_atom_site_type_symbol
_atom_site_fract_x
_atom_site_fract_y
_atom_site_fract_z
Rb1 Rb 0.0000 0.0000 0.0000
Tl1 Tl 0.5000 0.5000 0.0000
Pt1 Pt 0.5000 0.5000 0.5000
Au1 Au 0.0000 0.5000 0.5000

[3]
# Dy3Pd6Au, relaxed, DFT GGA-PBE
# V in A^3/atom: 19.850
# ΔH_f (0 K) in eV/atom: -0.69
data_Dy3Pd6Au
_chemical_formula_sum 'Dy12 Pd24 Au4'
_cell_length_a 10.7834
_cell_length_b 14.5825
_cell_length_c 5.0494
_cell_angle_alpha 90.00
_cell_angle_beta 90.00
_cell_angle_gamma 90.00
_symmetry_space_group_name_H-M 'C m c 21'
_symmetry_Int_Tables_number 36
_symmetry_space_group_name_Hall 'C 2c -2'
loop_
_atom_site_label
_atom_site_type_symbol
_atom_site_fract_x
_atom_site_fract_y
_atom_site_fract_z
Dy1 Dy 0.0000 0.1261 0.0000
Dy2 Dy 0.1827 0.3933 0.6379
Pd1 Pd 0.0000 0.2313 0.5100
Pd2 Pd 0.0000 0.4816 0.3286
Pd3 Pd 0.1334 0.0483 0.5181
Pd4 Pd 0.2480 0.2931 0.1733
Au1 Au 0.0000 0.3290 0.0343

[4]
# Mn10CoN8, relaxed, DFT GGA-PBE
# V in A^3/atom: 10.770
# E_form (uncorrected) in eV/atom: -0.18
data_Mn10CoN8
_chemical_formula_sum 'Mn20 Co2 N16'
_cell_length_a 16.3241
_cell_length_b 3.9395
_cell_length_c 7.0523
_cell_angle_alpha 90.00
_cell_angle_beta 115.53
_cell_angle_gamma 90.00
_symmetry_space_group_name_H-M 'C 1 2/m 1'
_symmetry_Int_Tables_number 12
_symmetry_space_group_name_Hall '-C 2y'
loop_
_atom_site_label
_atom_site_type_symbol
_atom_site_fract_x
_atom_site_fract_y
_atom_site_fract_z
Mn1 Mn 0.9995 0.0000 0.2363
Mn2 Mn 0.1297 0.5000 0.3920
Mn3 Mn 0.1308 0.5000 0.8703
Mn4 Mn 0.1688 0.0000 0.1699
Mn5 Mn 0.1934 0.0000 0.6934
Co1 Co 0.0000 0.5000 0.0000
N1 N 0.0006 0.5000 0.7340
N2 N 0.1348 0.0000 0.4056
N3 N 0.1361 0.0000 0.8671
N4 N 0.1825 0.5000 0.1838

[5]
# La2YCd, relaxed, DFT GGA-PBE
# V in A^3/atom: 31.041
# ΔH_f (0 K) in eV/atom: -0.12
data_La2YCd
_chemical_formula_sum 'La4 Y2 Cd2'
_cell_length_a 4.9124
_cell_length_b 4.9124
_cell_length_c 10.2904
_cell_angle_alpha 90.00
_cell_angle_beta 90.00
_cell_angle_gamma 90.00
_symmetry_space_group_name_H-M 'I 4/m m m'
_symmetry_Int_Tables_number 139
_symmetry_space_group_name_Hall '-I 4 2'
loop_
_atom_site_label
_atom_site_type_symbol
_atom_site_fract_x
_atom_site_fract_y
_atom_site_fract_z
La1 La 0.0000 0.5000 0.2500
Y1 Y 0.0000 0.0000 0.0000
Cd1 Cd 0.0000 0.0000 0.5000

[6]
# TbPuSc2P4, relaxed, DFT GGA-PBE
# V in A^3/atom: 20.679
# ΔH_f (0 K) in eV/atom: -1.42
data_TbPuSc2P4
_chemical_formula_sum 'Tb1 Pu1 Sc2 P4'
_cell_length_a 6.6917
_cell_length_b 3.8971
_cell_length_c 6.7333
_cell_angle_alpha 90.00
_cell_angle_beta 109.58
_cell_angle_gamma 90.00
_symmetry_space_group_name_H-M 'P 1 2/m 1'
_symmetry_Int_Tables_number 10
_symmetry_space_group_name_Hall '-P 2y'
loop_
_atom_site_label
_atom_site_type_symbol
_atom_site_fract_x
_atom_site_fract_y
_atom_site_fract_z
Tb1 Tb 0.0000 0.0000 0.0000
Pu1 Pu 0.0000 0.5000 0.5000
Sc1 Sc 0.5000 0.0000 0.5000
Sc2 Sc 0.5000 0.5000 0.0000
P1 P 0.2629 0.0000 0.7513
P2 P 0.2647 0.5000 0.2578

The lowest V belongs to which entry?
Mn10CoN8

V of number 2 (RbTlPtAu2)?
30.033 A^3/atom

What is the formula in the first record?
CeMgZr2